Record 1
A relaxed structure of ZrAlSi4. Source: Alexandria, functional PBEsol.

a b c (Å): 5.015 5.015 5.015
angles (deg): 60.00 60.00 60.00
Fractional coordinates of all 6 atoms:
Zr (0.000, 0.000, 0.000)
Al (0.250, 0.250, 0.250)
Si (0.124, 0.625, 0.625)
Si (0.625, 0.124, 0.625)
Si (0.625, 0.625, 0.124)
Si (0.625, 0.625, 0.625)

Summary:
Volume, Å³ per cell: 89.2
Space group: F-43m, No. 216
ΔE_f (raw), eV/f.u.: -0.86

=====

Record 2
A relaxed structure of LiCrW2O8. Source: Alexandria, functional PBEsol.

a b c (Å): 7.296 7.296 4.887
angles (deg): 90.23 90.23 102.01
Fractional coordinates of all 24 atoms:
Li (0.156, 0.844, 0.750)
Li (0.844, 0.156, 0.250)
Cr (0.324, 0.676, 0.250)
Cr (0.676, 0.324, 0.750)
W (0.161, 0.342, 0.739)
W (0.342, 0.161, 0.239)
W (0.658, 0.839, 0.761)
W (0.839, 0.658, 0.261)
O (0.075, 0.680, 0.392)
O (0.098, 0.193, 0.053)
O (0.193, 0.098, 0.553)
O (0.204, 0.564, 0.920)
O (0.306, 0.427, 0.414)
O (0.320, 0.925, 0.108)
O (0.427, 0.306, 0.914)
O (0.436, 0.796, 0.580)
O (0.564, 0.204, 0.420)
O (0.573, 0.694, 0.086)
O (0.680, 0.075, 0.892)
O (0.694, 0.573, 0.586)
O (0.796, 0.436, 0.080)
O (0.807, 0.902, 0.447)
O (0.902, 0.807, 0.947)
O (0.925, 0.320, 0.608)

Summary:
Volume, Å³ per cell: 254.4
Space group: C2/c, No. 15
ΔE_f (raw), eV/f.u.: -25.56

=====

Record 3
A relaxed structure of Er5Sb3. Source: Alexandria, functional PBEsol.

a b c (Å): 11.549 9.113 7.938
angles (deg): 90.00 90.00 90.00
Fractional coordinates of all 32 atoms:
Er (0.004, 0.250, 0.024)
Er (0.065, 0.058, 0.691)
Er (0.065, 0.442, 0.691)
Er (0.210, 0.750, 0.343)
Er (0.228, 0.250, 0.326)
Er (0.272, 0.750, 0.826)
Er (0.290, 0.250, 0.843)
Er (0.435, 0.558, 0.191)
Er (0.435, 0.942, 0.191)
Er (0.496, 0.750, 0.524)
Er (0.504, 0.250, 0.476)
Er (0.565, 0.058, 0.809)
Er (0.565, 0.442, 0.809)
Er (0.710, 0.750, 0.157)
Er (0.728, 0.250, 0.174)
Er (0.772, 0.750, 0.674)
Er (0.790, 0.250, 0.657)
Er (0.935, 0.558, 0.309)
Er (0.935, 0.942, 0.309)
Er (0.996, 0.750, 0.976)
Sb (0.025, 0.750, 0.597)
Sb (0.175, 0.509, 0.064)
Sb (0.175, 0.991, 0.064)
Sb (0.325, 0.009, 0.564)
Sb (0.325, 0.491, 0.564)
Sb (0.475, 0.250, 0.097)
Sb (0.525, 0.750, 0.903)
Sb (0.675, 0.509, 0.436)
Sb (0.675, 0.991, 0.436)
Sb (0.825, 0.009, 0.936)
Sb (0.825, 0.491, 0.936)
Sb (0.975, 0.250, 0.403)

Summary:
Volume, Å³ per cell: 835.4
Relative energy among the computed polymorphs, eV per atom: 0.019
Space group: Pnma, No. 62
ΔE_f (raw), eV/f.u.: -7.41

=====

Record 4
A relaxed structure of KSb. Source: Alexandria, functional PBEsol.

a b c (Å): 7.136 6.947 13.311
angles (deg): 90.00 115.07 90.00
Fractional coordinates of all 16 atoms:
K (0.221, 0.101, 0.331)
K (0.221, 0.399, 0.831)
K (0.241, 0.667, 0.534)
K (0.241, 0.833, 0.034)
K (0.759, 0.167, 0.966)
K (0.759, 0.333, 0.466)
K (0.779, 0.601, 0.169)
K (0.779, 0.899, 0.669)
Sb (0.317, 0.166, 0.622)
Sb (0.317, 0.334, 0.122)
Sb (0.321, 0.600, 0.287)
Sb (0.321, 0.900, 0.787)
Sb (0.679, 0.100, 0.213)
Sb (0.679, 0.400, 0.713)
Sb (0.683, 0.666, 0.878)
Sb (0.683, 0.834, 0.378)

Summary:
Volume, Å³ per cell: 597.7
Relative energy among the computed polymorphs, eV per atom: 0.000
Space group: P2_1/c, No. 14
ΔE_f (raw), eV/f.u.: -0.84

=====

Record 5
A relaxed structure of LiZnTe2. Source: Alexandria, functional PBEsol.

a b c (Å): 5.447 5.447 5.447
angles (deg): 137.26 115.90 80.14
Fractional coordinates of all 4 atoms:
Li (0.000, 0.000, 0.000)
Zn (0.500, 0.500, 0.000)
Te (0.280, 0.780, 0.500)
Te (0.720, 0.220, 0.500)

Summary:
Volume, Å³ per cell: 95.7
Space group: Immm, No. 71
ΔE_f (raw), eV/f.u.: -0.97

=====

Record 6
A relaxed structure of LiBH2OF4. Source: Alexandria, functional PBEsol.

a b c (Å): 10.055 13.252 5.032
angles (deg): 90.00 90.00 90.00
Fractional coordinates of all 72 atoms:
Li (0.137, 0.250, 0.250)
Li (0.250, 0.000, 0.040)
Li (0.250, 0.500, 0.460)
Li (0.363, 0.750, 0.250)
Li (0.637, 0.250, 0.750)
Li (0.750, 0.000, 0.960)
Li (0.750, 0.500, 0.540)
Li (0.863, 0.750, 0.750)
B (0.125, 0.625, 0.978)
B (0.125, 0.875, 0.522)
B (0.375, 0.125, 0.522)
B (0.375, 0.375, 0.978)
B (0.625, 0.625, 0.022)
B (0.625, 0.875, 0.478)
B (0.875, 0.125, 0.478)
B (0.875, 0.375, 0.022)
H (0.032, 0.100, 0.049)
H (0.032, 0.400, 0.451)
H (0.119, 0.146, 0.822)
H (0.119, 0.354, 0.678)
H (0.381, 0.646, 0.678)
H (0.381, 0.854, 0.822)
H (0.468, 0.600, 0.451)
H (0.468, 0.900, 0.049)
H (0.532, 0.100, 0.951)
H (0.532, 0.400, 0.549)
H (0.619, 0.146, 0.178)
H (0.619, 0.354, 0.322)
H (0.881, 0.646, 0.322)
H (0.881, 0.854, 0.178)
H (0.968, 0.600, 0.549)
H (0.968, 0.900, 0.951)
O (0.122, 0.123, 0.008)
O (0.122, 0.377, 0.492)
O (0.378, 0.623, 0.492)
O (0.378, 0.877, 0.008)
O (0.622, 0.123, 0.992)
O (0.622, 0.377, 0.508)
O (0.878, 0.623, 0.508)
O (0.878, 0.877, 0.992)
F (0.009, 0.684, 0.998)
F (0.009, 0.816, 0.502)
F (0.124, 0.574, 0.729)
F (0.124, 0.926, 0.771)
F (0.126, 0.554, 0.184)
F (0.126, 0.946, 0.316)
F (0.239, 0.686, 0.992)
F (0.239, 0.814, 0.508)
F (0.261, 0.186, 0.508)
F (0.261, 0.314, 0.992)
F (0.374, 0.054, 0.316)
F (0.374, 0.446, 0.184)
F (0.376, 0.074, 0.771)
F (0.376, 0.426, 0.729)
F (0.491, 0.184, 0.502)
F (0.491, 0.316, 0.998)
F (0.509, 0.684, 0.002)
F (0.509, 0.816, 0.498)
F (0.624, 0.574, 0.271)
F (0.624, 0.926, 0.229)
F (0.626, 0.554, 0.816)
F (0.626, 0.946, 0.684)
F (0.739, 0.686, 0.008)
F (0.739, 0.814, 0.492)
F (0.761, 0.186, 0.492)
F (0.761, 0.314, 0.008)
F (0.874, 0.054, 0.684)
F (0.874, 0.446, 0.816)
F (0.876, 0.074, 0.229)
F (0.876, 0.426, 0.271)
F (0.991, 0.184, 0.498)
F (0.991, 0.316, 0.002)

Summary:
Volume, Å³ per cell: 670.5
Space group: Pnna, No. 52

=====

Record 7
A relaxed structure of ZrTeAs2. Source: Alexandria, functional PBEsol.

a b c (Å): 3.706 3.705 7.129
angles (deg): 90.00 90.38 90.00
Fractional coordinates of all 4 atoms:
Zr (0.000, 0.000, 0.000)
Te (0.502, 0.500, 0.187)
As (0.495, 0.000, 0.694)
As (0.997, 0.500, 0.694)

Summary:
Volume, Å³ per cell: 97.9
Space group: Pm, No. 6
ΔE_f (raw), eV/f.u.: -2.40

=====

Record 8
A relaxed structure of Ba2W3. Source: Alexandria, functional PBEsol.

a b c (Å): 4.100 4.100 10.914
angles (deg): 90.00 90.00 120.00
Fractional coordinates of all 5 atoms:
Ba (0.333, 0.667, 0.288)
Ba (0.667, 0.333, 0.712)
W (0.000, 0.000, 0.500)
W (0.333, 0.667, 0.999)
W (0.667, 0.333, 0.001)

Summary:
Volume, Å³ per cell: 158.9
Relative energy among the computed polymorphs, eV per atom: 0.677
Energy relative to the elements, meV per atom: 2112
Space group: P-3m1, No. 164

=====

no.,total energy (eV per cell)
1,-37.03
2,-214.75
3,-182.87
4,-52.22
5,-11.57
6,-397.20
7,-25.23
8,-35.16